The following is a PBE with a Hubbard U calculation of a relaxed VGeO2F crystal, from Alexandria via LeMat-Bulk.

Cell: 3.9249 3.9249 4.0071 Å, 90.00 90.00 90.00°
Space group P4/mmm (No. 123)
Inequivalent atoms, fractional coordinates:
V  0.0000  0.0000  0.0000
Ge  0.5000  0.5000  0.5000
O  0.0000  0.5000  0.5000
F  0.5000  0.5000  0.0000

Calculated values
Magnetic moment   3.3 Bohr magnetons per cell
Raw total energy   -5.80 eV per atom
Density   4.7 g/cm³